Here is crystalline NaNbCu2F8 at its relaxed geometry from the Alexandria database. Energies are from PBE.

Cell lengths 4.7937, 4.7937, 8.9227 Å; angles 74.42, 74.42, 60.00 degrees
Each line ends with the local moment (μB).
Positions (direct):
F 0.3462 0.3462 0.9615  0.01
F 0.2416 0.8738 0.3533  0.00
F 0.7584 0.4686 0.6467  0.00
F 0.6538 0.6538 0.0385  0.01
F 0.4686 0.1262 0.6467  0.00
F 0.8738 0.5314 0.3533  0.00
F 0.1262 0.7584 0.6467  0.00
F 0.5314 0.2416 0.3533  0.00
Na 0.0000 0.0000 0.0000  0.00
Nb 0.5000 0.5000 0.5000  -0.02
Cu 0.2732 0.2732 0.1805  0.09
Cu 0.7268 0.7268 0.8195  0.09

## Properties
- magnetization (μB per formula unit) = 0.2
- formation energy (no corrections) (meV per atom) = -2162
- space group = R32, No. 155